Computed, not measured: ZrReIr2 after structural relaxation at the PBE-GGA level of DFT.

**Distance to the lowest polymorph of the same formula**: 0.260 eV per atom
**SG**: No. 99
**Energy of formation**: -14.00 kJ per mole of atoms

Cell: 2.835 2.835 8.099 Å, 90.00 90.00 90.01°
Fractional positions:
1 Ir 0.000 0.000 0.013
2 Ir 0.500 0.500 0.257
3 Re 0.000 0.000 0.474
4 Zr 0.500 0.500 0.756

***

Computed, not measured: Mg3In3IrPd2 after structural relaxation at the PBE-GGA level of DFT.

**SG**: No. 189
**Energy of formation**: -39.92 kJ per mole of atoms

Cell: 3.287 7.734 7.734 Å, 120.00 90.00 90.00°
Fractional positions:
1 Pd 0.500 0.333 0.667
2 Ir 0.000 0.000 0.000
3 In 0.500 0.286 0.286
4 Mg 0.000 0.618 0.618
5 In 0.500 0.000 0.714
6 Pd 0.500 0.667 0.333
7 Mg 0.000 0.000 0.382
8 In 0.500 0.714 0.000
9 Mg 0.000 0.382 0.000

***

Computed, not measured: Pu6OsRh after structural relaxation at the PBE-GGA level of DFT.

**SG**: No. 12
**Energy of formation**: 12.10 kJ per mole of atoms

Cell: 6.419 7.265 7.997 Å, 131.88 130.01 57.88°
Each line ends with the local moment (μB).
Fractional positions:
1 Os 0.000 0.500 0.000  0.56
2 Pu 0.809 0.548 0.607  -5.43
3 Pu 0.498 0.249 0.000  -5.34
4 Pu 0.202 0.941 0.393  -5.43
5 Pu 0.798 0.059 0.607  -5.43
6 Pu 0.502 0.751 0.000  -5.34
7 Pu 0.191 0.452 0.393  -5.43
8 Rh 0.000 0.000 0.000  0.31

***

Computed, not measured: CrRe2Cl after structural relaxation at the PBE-GGA level of DFT.

**Distance to the lowest polymorph of the same formula**: 0.518 eV per atom
**Formation energy without anion corrections**: 783 meV/atom
**SG**: No. 44

Cell: 5.114 5.114 5.114 Å, 147.82 129.32 61.31°
Fractional positions:
1 Re 0.002 0.002 0.000
2 Re 0.734 0.234 0.500
3 Cr 0.276 0.776 0.500
4 Cl 0.489 0.489 0.000

***

Computed, not measured: Rb4Na5Sr after structural relaxation at the PBE-GGA level of DFT.

**SG**: No. 123
**Energy of formation**: 4.30 kJ per mole of atoms

Cell: 4.726 4.726 25.912 Å, 90.00 90.00 90.00°
Fractional positions:
1 Sr 0.000 0.000 0.000
2 Rb 0.000 0.000 0.814
3 Na 0.500 0.500 0.291
4 Rb 0.000 0.000 0.395
5 Na 0.500 0.500 0.709
6 Na 0.500 0.500 0.081
7 Na 0.500 0.500 0.919
8 Rb 0.000 0.000 0.605
9 Na 0.500 0.500 0.500
10 Rb 0.000 0.000 0.186

***

Computed, not measured: La2HoZn6 after structural relaxation at the PBE-GGA level of DFT.

**SG**: No. 191
**Energy of formation**: -33.86 kJ per mole of atoms

Cell: 3.605 7.958 7.958 Å, 120.00 90.00 90.00°
Fractional positions:
1 Zn 0.500 0.326 0.326
2 La 0.000 0.333 0.667
3 Ho 0.000 0.000 0.000
4 Zn 0.500 0.674 0.674
5 Zn 0.500 0.000 0.326
6 Zn 0.500 0.000 0.674
7 La 0.000 0.667 0.333
8 Zn 0.500 0.326 0.000
9 Zn 0.500 0.674 0.000

***

Computed, not measured: TbScTlS after structural relaxation at the PBE-GGA level of DFT.

**Formation energy without anion corrections**: -1094 meV/atom
**SG**: No. 8

Cell: 3.696 3.697 8.256 Å, 89.96 102.89 119.92°
Fractional positions:
1 S 0.294 0.546 0.854
2 Tb 0.099 0.948 0.062
3 Sc 0.509 0.153 0.676
4 Tl 0.976 0.384 0.378

***

Computed, not measured: NdDy2Hg3 after structural relaxation at the PBE-GGA level of DFT.

**Distance to the lowest polymorph of the same formula**: 0.002 eV per atom
**SG**: No. 65
**Energy of formation**: -45.76 kJ per mole of atoms

Cell: 5.278 8.369 7.616 Å, 90.00 90.00 71.62°
Each line ends with the local moment (μB).
Fractional positions:
1 Dy 0.669 0.663 0.500  0.09
2 Hg 0.163 0.673 0.263  0.01
3 Hg 0.163 0.673 0.737  0.01
4 Dy 0.331 0.337 0.500  0.09
5 Nd 0.334 0.332 0.000  0.20
6 Dy 0.000 0.000 0.000  0.18
7 Dy 0.000 0.000 0.500  0.05
8 Hg 0.837 0.327 0.737  0.01
9 Hg 0.837 0.327 0.263  0.01
10 Nd 0.666 0.668 0.000  0.20
11 Hg 0.500 0.000 0.738  0.01
12 Hg 0.500 0.000 0.262  0.01

***

Computed, not measured: TcRhW2 after structural relaxation at the PBE-GGA level of DFT.

**Distance to the lowest polymorph of the same formula**: 0.005 eV per atom
**SG**: No. 65
**Energy of formation**: 1.22 kJ per mole of atoms

Cell: 4.813 4.813 2.778 Å, 90.00 90.00 108.47°
Fractional positions:
1 W 0.500 0.500 0.000
2 W 0.000 0.000 0.000
3 Rh 0.500 0.000 0.500
4 Tc 0.000 0.500 0.500

***

Computed, not measured: K2SbRuPt after structural relaxation at the PBE-GGA level of DFT.

**Formation energy without anion corrections**: 1017 meV/atom
**SG**: No. 123

Cell: 6.480 4.948 6.480 Å, 90.00 90.00 90.00°
Each line ends with the local moment (μB).
Fractional positions:
1 K 0.500 0.000 0.000  0.00
2 Pt 0.500 0.500 0.500  0.77
3 K 0.000 0.000 0.500  0.00
4 Sb 0.000 0.000 0.000  -0.01
5 Ru 0.000 0.500 0.000  1.55

***

Computed, not measured: Sm6DyHo5 after structural relaxation at the PBE-GGA level of DFT.

**SG**: No. 71
**Energy of formation**: 1.58 kJ per mole of atoms

Cell: 5.062 10.083 9.461 Å, 122.20 105.53 90.00°
Fractional positions:
1 Sm 0.500 0.250 0.000
2 Sm 0.833 0.583 0.667
3 Ho 0.333 0.833 0.667
4 Ho 0.667 0.167 0.333
5 Dy 0.000 0.000 0.000
6 Ho 0.000 0.500 0.000
7 Sm 0.167 0.917 0.333
8 Sm 0.500 0.750 0.000
9 Sm 0.167 0.417 0.333
10 Sm 0.833 0.083 0.667
11 Ho 0.667 0.667 0.334
12 Ho 0.333 0.333 0.666

***

Computed, not measured: Sm5TlBi2 after structural relaxation at the PBE-GGA level of DFT.

**SG**: No. 63
**Energy of formation**: -28.14 kJ per mole of atoms

Cell: 5.955 6.630 14.937 Å, 90.00 90.00 116.68°
Fractional positions:
1 Sm 0.414 0.829 0.750
2 Tl 0.294 0.589 0.250
3 Bi 0.802 0.603 0.385
4 Sm 0.076 0.152 0.399
5 Sm 0.924 0.848 0.899
6 Sm 0.378 0.756 0.451
7 Sm 0.924 0.848 0.601
8 Sm 0.076 0.152 0.101
9 Sm 0.622 0.244 0.951
10 Sm 0.378 0.756 0.049
11 Sm 0.622 0.244 0.549
12 Sm 0.586 0.171 0.250
13 Bi 0.198 0.397 0.615
14 Tl 0.706 0.411 0.750
15 Bi 0.802 0.603 0.115
16 Bi 0.198 0.397 0.885

***

Computed, not measured: Rb2HgPdI after structural relaxation at the PBE-GGA level of DFT.

**Formation energy without anion corrections**: -551 meV/atom
**SG**: No. 123

Cell: 6.436 6.436 5.274 Å, 90.00 90.00 90.00°
Fractional positions:
1 Hg 0.000 0.000 0.500
2 Pd 0.000 0.000 0.000
3 Rb 0.000 0.500 0.000
4 Rb 0.500 0.000 0.000
5 I 0.500 0.500 0.500

***

Computed, not measured: Y6HoTh2 after structural relaxation at the PBE-GGA level of DFT.

**Distance to the lowest polymorph of the same formula**: 0.028 eV per atom
**SG**: No. 15
**Energy of formation**: 9.40 kJ per mole of atoms

Cell: 9.059 8.942 8.942 Å, 82.74 64.46 64.46°
Fractional positions:
1 Y 0.687 0.717 0.061
2 Y 0.864 0.303 0.107
3 Th 0.890 0.188 0.500
4 Y 0.313 0.283 0.939
5 Y 0.136 0.697 0.893
6 Y 0.364 0.107 0.303
7 Th 0.390 0.500 0.188
8 Y 0.978 0.522 0.317
9 Y 0.636 0.893 0.697
10 Y 0.022 0.478 0.683
11 Y 0.813 0.939 0.283
12 Th 0.610 0.500 0.812
13 Ho 0.750 0.079 0.921
14 Th 0.110 0.812 0.500
15 Y 0.522 0.683 0.478
16 Y 0.187 0.061 0.717
17 Y 0.478 0.317 0.522
18 Ho 0.250 0.921 0.079

***

Computed, not measured: Dy3YBi3 after structural relaxation at the PBE-GGA level of DFT.

**Distance to the lowest polymorph of the same formula**: 0.075 eV per atom
**SG**: No. 148
**Energy of formation**: -63.91 kJ per mole of atoms

Cell: 9.110 9.110 8.195 Å, 56.23 56.23 60.00°
Fractional positions:
1 Dy 0.917 0.174 0.245
2 Dy 0.826 0.337 0.755
3 Bi 0.476 0.695 0.746
4 Dy 0.083 0.826 0.755
5 Bi 0.695 0.083 0.746
6 Y 0.334 0.334 0.999
7 Dy 0.663 0.917 0.245
8 Dy 0.337 0.083 0.755
9 Bi 0.917 0.524 0.254
10 Bi 0.305 0.917 0.254
11 Bi 0.524 0.305 0.254
12 Y 0.666 0.666 0.001
13 Dy 0.174 0.663 0.245
14 Bi 0.083 0.476 0.746

***

Computed, not measured: Rb3La3GaTe8 after structural relaxation at the PBE-GGA level of DFT.

**Formation energy without anion corrections**: -1103 meV/atom
**SG**: No. 12

Cell: 9.253 9.178 10.260 Å, 116.38 90.00 120.27°
Fractional positions:
1 Te 0.263 0.525 0.291
2 La 0.000 0.500 0.500
3 Ga 0.000 0.000 0.500
4 Te 0.737 0.475 0.709
5 Te 0.224 0.973 0.696
6 Rb 0.000 0.000 0.000
7 La 0.500 0.500 0.500
8 Te 0.796 0.591 0.317
9 Te 0.204 0.409 0.683
10 Rb 0.000 0.500 0.000
11 Te 0.251 0.027 0.304
12 Te 0.749 0.973 0.696
13 Rb 0.500 0.500 0.000
14 La 0.500 0.000 0.500
15 Te 0.776 0.027 0.304

***

Computed, not measured: KAlF4 after structural relaxation at the PBE-GGA level of DFT.

**Formation energy without anion corrections**: -3360 meV/atom
**SG**: No. 127

Cell: 5.121 5.121 6.279 Å, 90.00 90.00 90.00°
Fractional positions:
1 F 0.201 0.299 0.000
2 K 0.500 0.000 0.500
3 F 0.000 0.000 0.285
4 K 0.000 0.500 0.500
5 Al 0.000 0.000 0.000
6 F 0.299 0.799 0.000
7 F 0.000 0.000 0.715
8 Al 0.500 0.500 0.000
9 F 0.701 0.201 0.000
10 F 0.500 0.500 0.715
11 F 0.500 0.500 0.285
12 F 0.799 0.701 0.000

***

Computed, not measured: NdTaBeIr2 after structural relaxation at the PBE-GGA level of DFT.

**SG**: No. 119
**Energy of formation**: -51.51 kJ per mole of atoms

Cell: 3.994 3.994 6.498 Å, 107.90 107.90 90.00°
Fractional positions:
1 Ta 0.250 0.750 0.500
2 Nd 0.000 0.000 0.000
3 Be 0.750 0.250 0.500
4 Ir 0.617 0.617 0.234
5 Ir 0.383 0.383 0.766

***

Computed, not measured: TaNb6Ru2 after structural relaxation at the PBE-GGA level of DFT.

**Distance to the lowest polymorph of the same formula**: 0.042 eV per atom
**SG**: No. 166
**Energy of formation**: -2.51 kJ per mole of atoms

Cell: 4.582 4.582 9.372 Å, 75.85 75.85 60.00°
Fractional positions:
1 Nb 0.198 0.198 0.407
2 Ta 0.000 0.000 0.000
3 Ru 0.898 0.898 0.306
4 Nb 0.701 0.701 0.896
5 Ru 0.102 0.102 0.694
6 Nb 0.299 0.299 0.104
7 Nb 0.407 0.407 0.780
8 Nb 0.802 0.802 0.593
9 Nb 0.593 0.593 0.220

***

Computed, not measured: NiAsH3 after structural relaxation at the PBE-GGA level of DFT.

**Distance to the lowest polymorph of the same formula**: 0.000 eV per atom
**SG**: No. 221

Cell: 3.417 3.417 3.417 Å, 90.00 90.00 90.00°
Fractional positions:
1 H 0.000 0.000 0.500
2 H 0.500 0.000 0.000
3 Ni 0.000 0.000 0.000
4 H 0.000 0.500 0.000
5 As 0.500 0.500 0.500

***

Computed, not measured: Dy5BiSe4 after structural relaxation at the PBE-GGA level of DFT.

**Formation energy without anion corrections**: -1553 meV/atom
**SG**: No. 12

Cell: 4.148 7.216 9.297 Å, 74.84 77.11 73.29°
Fractional positions:
1 Se 0.205 0.385 0.206
2 Dy 0.608 0.673 0.111
3 Bi 0.000 0.000 0.000
4 Dy 0.000 0.500 0.500
5 Dy 0.794 0.097 0.316
6 Se 0.594 0.207 0.604
7 Se 0.406 0.793 0.396
8 Dy 0.392 0.327 0.889
9 Dy 0.206 0.903 0.684
10 Se 0.795 0.615 0.794

***

Computed, not measured: Nd6TePb3Se2 after structural relaxation at the PBE-GGA level of DFT.

**Formation energy without anion corrections**: -1121 meV/atom
**SG**: No. 12

Cell: 4.458 8.952 9.985 Å, 103.36 102.90 90.00°
Fractional positions:
1 Se 0.832 0.666 0.664
2 Nd 0.995 0.745 0.990
3 Se 0.168 0.334 0.336
4 Nd 0.670 0.577 0.339
5 Nd 0.331 0.908 0.661
6 Pb 0.836 0.169 0.672
7 Nd 0.669 0.092 0.339
8 Nd 0.330 0.423 0.661
9 Pb 0.500 0.500 0.000
10 Nd 0.005 0.255 0.010
11 Te 0.500 0.000 0.000
12 Pb 0.164 0.831 0.328

***

Computed, not measured: LiY2ScSe4 after structural relaxation at the PBE-GGA level of DFT.

**Formation energy without anion corrections**: -1706 meV/atom
**SG**: No. 10

Cell: 3.990 6.863 6.946 Å, 70.60 90.00 90.00°
Fractional positions:
1 Se 0.000 0.733 0.753
2 Se 0.500 0.735 0.255
3 Se 0.500 0.265 0.745
4 Se 0.000 0.267 0.247
5 Y 0.000 0.000 0.000
6 Y 0.500 0.000 0.500
7 Li 0.000 0.500 0.500
8 Sc 0.500 0.500 0.000

***

Table of Fermi-level density of states (states/eV/cell), in record order: 4.45, 3.28, 36.52, 2.35, 6.45, 7.29, 2.56, 13.22, 3.84, 5.92, 15.40, 17.09, 1.31, 28.11, 11.16, 17.25, 0.00, 3.50, 7.33, 1.85, 3.43, 4.28, 3.05
Table of E_tot (eV/atom), in record order: -9.8247, -3.9966, -12.9462, -8.3083, -1.1702, -2.8038, -5.4581, -2.9538, -10.8933, -3.3100, -4.6341, -4.5072, -2.3473, -6.3694, -5.2214, -4.1595, -5.4144, -8.1476, -10.1174, -3.6059, -5.6361, -5.2741, -6.0952
Table of M_tot (μB per formula unit), in record order: 0.00, 0.00, 33.70, 0.00, 0.00, 0.00, 0.00, 0.72, 0.00, 2.70, 0.00, 0.00, 0.00, 0.00, 0.00, 0.00, 0.00, 0.00, 0.00, 0.00, 0.00, 0.00, 0.00